Here is a relaxed structure of SrCoSeF2 from the Alexandria database. Energies are from PBE with a Hubbard U.

Output
Symmetry: P4/mmm, No. 123
E: -4.38 eV per atom
Mass density: 3.38 Mg/m³

Lattice parameters (Å, degrees): 4.4252 6.6098 4.4252 90.00 90.00 90.00
Fractional coordinates of all 5 atoms:
1 F 0.0000 0.0000 0.5000
2 Sr 0.0000 0.0000 0.0000
3 F 0.5000 0.0000 0.0000
4 Se 0.0000 0.5000 0.0000
5 Co 0.5000 0.5000 0.5000